No. 1
12
Lattice="-2.904 7.134 2.879 2.904 -7.134 2.879 2.904 7.134 -2.879" Properties=species:S:1:pos:R:3 comment="PBE-GGA LiCa2CuPt2, relaxed" mass_density_g_cm3=7.529 volume_a3_per_atom=19.9 ef_ev_per_atom=-0.63 spacegroup="Ibam (72)" magmom_total_mub_per_fu=0.00 pbc="T T T"
Li 0.000 0.000 1.440
Li 0.000 0.000 4.319
Ca 4.304 2.416 0.000
Ca 1.400 4.718 0.000
Ca 1.503 2.416 2.879
Ca -1.400 4.718 2.879
Cu 2.904 0.000 1.440
Cu 0.000 7.134 1.440
Pt 1.428 1.644 0.000
Pt 1.428 -1.644 2.879
Pt 1.476 8.778 0.000
Pt 1.476 5.490 2.879

No. 2
5
Lattice="5.746 0.000 0.000 0.000 5.746 0.000 0.000 0.000 5.645" Properties=species:S:1:pos:R:3 comment="PBE-GGA RbLiCa2Cu, relaxed" mass_density_g_cm3=2.103 volume_a3_per_atom=37.3 ef_ev_per_atom=0.15 spacegroup="P4/mmm (123)" magmom_total_mub_per_fu=0.00 pbc="T T T"
Rb 0.000 0.000 0.000
Li 2.873 2.873 0.000
Ca 0.000 2.873 2.822
Ca 2.873 0.000 2.822
Cu 2.873 2.873 2.822

No. 3
10
Lattice="4.464 0.000 0.000 0.000 4.464 0.000 0.000 0.000 11.229" Properties=species:S:1:pos:R:3 comment="PBE-GGA LiCa2Cu3Sb4, relaxed" formation_energy_uncorrected_ev_per_atom=-0.464 mass_density_g_cm3=5.676 volume_a3_per_atom=22.4 spacegroup="P-4m2 (115)" magmom_total_mub_per_fu=0.00 pbc="T T T"
Li 0.000 0.000 0.000
Ca 0.000 2.232 8.585
Ca 2.232 0.000 2.643
Cu 0.000 2.232 4.074
Cu 2.232 0.000 7.155
Cu 2.232 2.232 0.000
Sb 0.000 0.000 5.614
Sb 0.000 2.232 1.535
Sb 2.232 0.000 9.694
Sb 2.232 2.232 5.614

No. 4
7
Lattice="2.229 1.287 8.346 -2.229 1.287 8.346 0.000 -2.574 8.346" Properties=species:S:1:pos:R:3 comment="PBE-GGA Li2CaCu2Sb2, relaxed" formation_energy_uncorrected_ev_per_atom=-0.534 mass_density_g_cm3=4.908 volume_a3_per_atom=20.5 spacegroup="R-3m (166)" magmom_total_mub_per_fu=0.00 pbc="T T T"
Li 0.000 0.000 3.412
Li 0.000 0.000 21.626
Ca 0.000 0.000 0.000
Cu 0.000 0.000 10.538
Cu 0.000 0.000 14.500
Sb 0.000 0.000 6.290
Sb 0.000 0.000 18.748

No. 5
5
Lattice="4.700 0.000 0.000 0.000 4.700 0.000 0.000 0.000 4.447" Properties=species:S:1:pos:R:3 comment="PBE-GGA Li2CaCuSi, relaxed" formation_energy_uncorrected_ev_per_atom=-0.104 mass_density_g_cm3=2.462 volume_a3_per_atom=19.6 spacegroup="P4/mmm (123)" magmom_total_mub_per_fu=0.00 pbc="T T T"
Li 0.000 2.350 0.000
Li 2.350 0.000 0.000
Ca 0.000 0.000 2.223
Cu 2.350 2.350 0.000
Si 2.350 2.350 2.223

No. 6
10
Lattice="4.151 0.000 0.000 0.000 4.151 0.000 0.000 0.000 9.624" Properties=species:S:1:pos:R:3 comment="PBE-GGA LiCa2Cu4Si3, relaxed" formation_energy_uncorrected_ev_per_atom=-0.340 mass_density_g_cm3=4.261 volume_a3_per_atom=16.6 spacegroup="P-4m2 (115)" magmom_total_mub_per_fu=0.00 pbc="T T T"
Li 0.000 0.000 0.000
Ca 0.000 2.075 7.166
Ca 2.075 0.000 2.459
Cu 0.000 0.000 4.812
Cu 0.000 2.075 1.216
Cu 2.075 0.000 8.408
Cu 2.075 2.075 4.812
Si 0.000 2.075 3.551
Si 2.075 0.000 6.073
Si 2.075 2.075 0.000

No. 7
18
Lattice="3.008 1.737 9.091 -3.008 1.737 9.091 0.000 -3.473 9.091" Properties=species:S:1:pos:R:3 comment="PBE-GGA Li3Ca2Cu12Si, relaxed" formation_energy_uncorrected_ev_per_atom=0.107 mass_density_g_cm3=5.196 volume_a3_per_atom=15.8 spacegroup="R-3m (166)" magmom_total_mub_per_fu=0.00 pbc="T T T"
Li -1.504 -0.868 9.091
Li -1.504 0.868 18.182
Li 0.000 1.737 9.091
Ca 0.000 0.000 4.021
Ca 0.000 0.000 23.252
Cu 0.000 -2.097 7.748
Cu -1.816 1.048 7.748
Cu -1.288 -0.744 11.753
Cu -1.816 -1.048 19.525
Cu 0.000 -1.488 15.520
Cu -1.288 0.744 15.520
Cu 1.288 -0.744 11.753
Cu 0.000 1.488 11.753
Cu 1.816 1.048 7.748
Cu 1.288 0.744 15.520
Cu 1.816 -1.048 19.525
Cu 0.000 2.097 19.525
Si 0.000 0.000 13.636

No. 8
5
Lattice="5.972 0.000 0.000 0.000 5.972 0.000 0.000 0.000 5.679" Properties=species:S:1:pos:R:3 comment="PBE-GGA Sr2LiCaCu, relaxed" mass_density_g_cm3=2.343 volume_a3_per_atom=40.5 ef_ev_per_atom=0.05 spacegroup="P4/mmm (123)" magmom_total_mub_per_fu=0.00 e_above_lowest_polymorph_ev_per_atom=0.000 pbc="T T T"
Sr 0.000 2.986 0.000
Sr 2.986 0.000 0.000
Li 0.000 0.000 2.839
Ca 2.986 2.986 2.839
Cu 2.986 2.986 0.000

No. 9
5
Lattice="6.021 0.000 0.000 0.000 6.021 0.000 0.000 0.000 5.193" Properties=species:S:1:pos:R:3 comment="PBE-GGA Sr2LiCaCu, relaxed" mass_density_g_cm3=2.521 volume_a3_per_atom=37.6 ef_ev_per_atom=0.10 spacegroup="P4/mmm (123)" magmom_total_mub_per_fu=0.00 e_above_lowest_polymorph_ev_per_atom=0.048 pbc="T T T"
Sr 0.000 3.010 0.000
Sr 3.010 0.000 0.000
Li 0.000 0.000 2.597
Ca 3.010 3.010 2.597
Cu 0.000 0.000 0.000

No. 10
16
Lattice="7.217 0.000 0.000 0.000 7.217 0.000 0.000 0.000 7.217" Properties=species:S:1:pos:R:3 comment="PBE-GGA LiCaTbCu, relaxed" mass_density_g_cm3=4.762 volume_a3_per_atom=23.5 ef_ev_per_atom=0.01 spacegroup="F-43m (216)" magmom_total_mub_per_fu=0.00 pbc="T T T"
Li 0.000 0.000 0.000
Li 0.000 3.609 3.609
Li 3.609 0.000 3.609
Li 3.609 3.609 0.000
Ca 1.804 1.804 5.413
Ca 1.804 5.413 1.804
Ca 5.413 1.804 1.804
Ca 5.413 5.413 5.413
Tb 1.804 1.804 1.804
Tb 1.804 5.413 5.413
Tb 5.413 1.804 5.413
Tb 5.413 5.413 1.804
Cu 0.000 0.000 3.609
Cu 0.000 3.609 0.000
Cu 3.609 0.000 0.000
Cu 3.609 3.609 3.609

No. 11
16
Lattice="6.886 0.000 0.000 0.000 6.886 0.000 0.000 0.000 6.886" Properties=species:S:1:pos:R:3 comment="PBE-GGA LiCaTlCu, relaxed" mass_density_g_cm3=6.408 volume_a3_per_atom=20.4 ef_ev_per_atom=-0.17 spacegroup="F-43m (216)" magmom_total_mub_per_fu=0.00 pbc="T T T"
Li 0.000 0.000 0.000
Li 0.000 3.443 3.443
Li 3.443 0.000 3.443
Li 3.443 3.443 0.000
Ca 1.721 1.721 1.721
Ca 1.721 5.164 5.164
Ca 5.164 1.721 5.164
Ca 5.164 5.164 1.721
Tl 1.721 1.721 5.164
Tl 1.721 5.164 1.721
Tl 5.164 1.721 1.721
Tl 5.164 5.164 5.164
Cu 0.000 0.000 3.443
Cu 0.000 3.443 0.000
Cu 3.443 0.000 0.000
Cu 3.443 3.443 3.443

No. 12
16
Lattice="7.152 0.000 0.000 0.000 7.152 0.000 0.000 0.000 7.152" Properties=species:S:1:pos:R:3 comment="PBE-GGA LiCaTmCu, relaxed" mass_density_g_cm3=5.074 volume_a3_per_atom=22.9 ef_ev_per_atom=0.02 spacegroup="F-43m (216)" magmom_total_mub_per_fu=0.00 pbc="T T T"
Li 0.000 0.000 0.000
Li 0.000 3.576 3.576
Li 3.576 0.000 3.576
Li 3.576 3.576 0.000
Ca 1.788 1.788 1.788
Ca 1.788 5.364 5.364
Ca 5.364 1.788 5.364
Ca 5.364 5.364 1.788
Tm 1.788 1.788 5.364
Tm 1.788 5.364 1.788
Tm 5.364 1.788 1.788
Tm 5.364 5.364 5.364
Cu 0.000 0.000 3.576
Cu 0.000 3.576 0.000
Cu 3.576 0.000 0.000
Cu 3.576 3.576 3.576